No. 1
PBE CsTaSeBr2, relaxed; spin magnetization = 1.80 μB/f.u.; E_form (uncorrected) = -765 meV/atom; DFT total energy = -4.67 eV/atom
1.0
-4.803 -2.370 1.421
2.760 -4.255 2.232
0.124 2.403 4.428
Se Br Ta Cs
1 2 1 1
Cartesian
0.062 1.202 2.214
-2.401 -1.185 0.711
1.380 -2.127 1.116
0.000 0.000 0.000
-0.959 -2.111 4.041



No. 2
PBE CsTaSe2Br, relaxed; spin magnetization = 1.15 μB/f.u.; E_form (uncorrected) = -495 meV/atom; DFT total energy = -4.77 eV/atom
1.0
4.968 0.000 0.000
0.000 4.968 0.000
0.000 0.000 9.725
Se Ta Br Cs
2 1 1 1
Cartesian
0.000 2.484 0.000
2.484 0.000 0.000
0.000 0.000 0.000
2.484 2.484 4.862
0.000 0.000 4.862



No. 3
PBE CsTa2SeBr, relaxed; spin magnetization = 0.00 μB/f.u.; E_form (uncorrected) = 1423 meV/atom; DFT total energy = -4.52 eV/atom
1.0
4.824 0.000 0.000
0.000 6.685 0.000
0.000 0.000 4.824
Br Ta Cs Se
1 2 1 1
Cartesian
0.000 0.000 0.000
2.412 0.000 0.000
0.000 0.000 2.412
2.412 3.343 2.412
0.000 3.343 0.000



| no. | volume (Å³ per atom) |
| --- | --- |
| 1 | 30.95 |
| 2 | 48.00 |
| 3 | 31.12 |